A relaxed RbHg3Pt crystal, computed with GGA-PBE.

Output
* formation energy: -0.560 eV per formula unit
* size of the total moment: 0.00 μB/f.u.
* ΔE to the lowest computed polymorph: 170 meV/atom

Cell: 14.675 14.675 14.675 Å, 90.00 90.00 90.00°
Space group Fd-3m (No. 227, origin choice 2)
Asymmetric unit:
Rb 0.000 0.000 0.000 x16
Hg 0.051 0.375 0.875 x48
Pt 0.000 0.000 0.500 x16